A plane-wave DFT calculation with SCAN was carried out for a PBEsol-optimized structure of LiAlHg. Values from VASP.

Fermi-level density of states (states/eV/f.u.): 0.76
Space group: P3m1 (156)
ρ (Mg/m³): 7.07
Calculated formation energy (meV per atom): -285

```
&SYSTEM
  ibrav = 0, nat = 3, ntyp = 3
/
ATOMIC_SPECIES
Li 6.94 Li.upf
Al 26.98 Al.upf
Hg 200.59 Hg.upf
CELL_PARAMETERS angstrom
4.564 0.000 0.000
-2.282 3.953 0.000
0.000 0.000 3.052
ATOMIC_POSITIONS crystal
Li 0.000 0.000 0.000
Al 0.333 0.667 0.501
Hg 0.667 0.333 0.499
```



A plane-wave DFT calculation with SCAN was carried out for a PBEsol-optimized structure of InHgSe2. Values from VASP.

Fermi-level density of states (states/eV/f.u.): 2.49
Space group: F-43m (216)
ρ (Mg/m³): 8.91
Energy relative to the elements, uncorrected (eV/atom): 0.23

```
&SYSTEM
  ibrav = 0, nat = 16, ntyp = 3
/
ATOMIC_SPECIES
In 114.82 In.upf
Hg 200.59 Hg.upf
Se 78.96 Se.upf
CELL_PARAMETERS angstrom
7.066 0.000 0.000
0.000 7.066 0.000
0.000 0.000 7.066
ATOMIC_POSITIONS crystal
In 0.000 0.000 0.000
In 0.000 0.500 0.500
In 0.500 0.000 0.500
In 0.500 0.500 0.000
Hg 0.250 0.250 0.750
Hg 0.250 0.750 0.250
Hg 0.750 0.250 0.250
Hg 0.750 0.750 0.750
Se 0.000 0.000 0.500
Se 0.000 0.500 0.000
Se 0.250 0.250 0.250
Se 0.250 0.750 0.750
Se 0.500 0.000 0.000
Se 0.500 0.500 0.500
Se 0.750 0.250 0.750
Se 0.750 0.750 0.250
```



A plane-wave DFT calculation with SCAN was carried out for a PBEsol-optimized structure of SrW2Br. Values from VASP.

Fermi-level density of states (states/eV/f.u.): 4.10
Space group: Cmmm (65)
Distance to the lowest polymorph of the same formula (eV per atom): 0.873
ρ (Mg/m³): 10.70
Energy relative to the elements, uncorrected (eV/atom): 1.49

```
&SYSTEM
  ibrav = 0, nat = 8, ntyp = 3
/
ATOMIC_SPECIES
Sr 87.62 Sr.upf
W 183.84 W.upf
Br 79.90 Br.upf
CELL_PARAMETERS angstrom
5.378 0.000 0.000
0.000 10.655 0.000
0.000 0.000 2.899
ATOMIC_POSITIONS crystal
Sr 0.000 0.000 0.000
Sr 0.500 0.500 0.000
W 0.250 0.250 0.500
W 0.250 0.750 0.500
W 0.750 0.250 0.500
W 0.750 0.750 0.500
Br 0.000 0.500 0.000
Br 0.500 0.000 0.000
```



A plane-wave DFT calculation with SCAN was carried out for a PBEsol-optimized structure of Ir5Ru4. Values from VASP.

Fermi-level density of states (states/eV/f.u.): 7.26
Space group: I4/mmm (139)
ρ (Mg/m³): 18.37
Calculated formation energy (meV per atom): -47

```
&SYSTEM
  ibrav = 0, nat = 9, ntyp = 2
/
ATOMIC_SPECIES
Ir 192.22 Ir.upf
Ru 101.07 Ru.upf
CELL_PARAMETERS angstrom
-4.031 4.031 1.899
4.031 -4.031 1.899
4.031 4.031 -1.899
ATOMIC_POSITIONS crystal
Ir 0.000 0.000 0.000
Ir 0.332 0.332 0.664
Ir 0.332 0.668 0.000
Ir 0.668 0.332 0.000
Ir 0.668 0.668 0.336
Ru 0.000 0.337 0.337
Ru 0.000 0.663 0.663
Ru 0.337 0.000 0.337
Ru 0.663 0.000 0.663
```



A plane-wave DFT calculation with SCAN was carried out for a PBEsol-optimized structure of Al7Ag. Values from VASP.

Fermi-level density of states (states/eV/f.u.): 3.03
Space group: P-1 (2)
Distance to the lowest polymorph of the same formula (eV per atom): 0.022
ρ (Mg/m³): 3.79
Calculated formation energy (meV per atom): -8

```
&SYSTEM
  ibrav = 0, nat = 8, ntyp = 2
/
ATOMIC_SPECIES
Al 26.98 Al.upf
Ag 107.87 Ag.upf
CELL_PARAMETERS angstrom
4.926 0.000 0.000
0.869 4.852 0.000
1.708 -0.267 5.445
ATOMIC_POSITIONS crystal
Al 0.000 0.000 0.000
Al 0.002 0.500 0.752
Al 0.497 0.748 0.126
Al 0.500 0.250 0.374
Al 0.500 0.750 0.626
Al 0.503 0.252 0.874
Al 0.998 0.500 0.248
Ag 0.000 0.000 0.500
```



A plane-wave DFT calculation with SCAN was carried out for a PBEsol-optimized structure of Mg2Ag. Values from VASP.

Fermi-level density of states (states/eV/f.u.): 0.83
Space group: I4/mcm (140)
ρ (Mg/m³): 4.29
Calculated formation energy (meV per atom): -221

```
&SYSTEM
  ibrav = 0, nat = 12, ntyp = 2
/
ATOMIC_SPECIES
Mg 24.30 Mg.upf
Ag 107.87 Ag.upf
CELL_PARAMETERS angstrom
6.608 0.000 0.000
0.000 6.608 0.000
0.000 0.000 5.547
ATOMIC_POSITIONS crystal
Mg 0.166 0.334 0.000
Mg 0.166 0.666 0.500
Mg 0.334 0.166 0.500
Mg 0.334 0.834 0.000
Mg 0.666 0.166 0.000
Mg 0.666 0.834 0.500
Mg 0.834 0.334 0.500
Mg 0.834 0.666 0.000
Ag 0.000 0.000 0.250
Ag 0.000 0.000 0.750
Ag 0.500 0.500 0.250
Ag 0.500 0.500 0.750
```



A plane-wave DFT calculation with SCAN was carried out for a PBEsol-optimized structure of Y13Tm3O24. Values from VASP.

Fermi-level density of states (states/eV/f.u.): 0.00
Space group: P1 (1)
ρ (Mg/m³): 5.86
Energy relative to the elements, uncorrected (eV/atom): -3.95

```
&SYSTEM
  ibrav = 0, nat = 40, ntyp = 3
/
ATOMIC_SPECIES
Y 88.91 Y.upf
Tm 168.93 Tm.upf
O 16.00 O.upf
CELL_PARAMETERS angstrom
9.090 0.000 0.000
-3.025 8.579 0.000
-3.030 -4.285 7.432
ATOMIC_POSITIONS crystal
Y 0.000 0.000 0.000
Y 0.000 0.498 0.501
Y 0.034 0.716 0.250
Y 0.217 0.184 0.468
Y 0.249 0.966 0.718
Y 0.282 0.747 0.968
Y 0.467 0.217 0.186
Y 0.500 0.433 0.935
Y 0.501 0.933 0.436
Y 0.533 0.715 0.750
Y 0.717 0.683 0.468
Y 0.750 0.966 0.219
Y 0.784 0.250 0.967
Tm 0.250 0.466 0.217
Tm 0.751 0.466 0.718
Tm 0.967 0.217 0.685
O 0.014 0.454 0.249
O 0.018 0.496 0.760
O 0.025 0.230 0.946
O 0.208 0.955 0.947
O 0.216 0.206 0.729
O 0.240 0.692 0.176
O 0.260 0.241 0.260
O 0.281 0.726 0.707
O 0.293 0.978 0.490
O 0.475 0.702 0.486
O 0.482 0.433 0.675
O 0.487 0.477 0.186
O 0.511 0.695 0.990
O 0.521 0.008 0.229
O 0.521 0.195 0.957
O 0.710 0.198 0.686
O 0.718 0.423 0.449
O 0.739 0.998 0.978
O 0.764 0.938 0.462
O 0.783 0.509 0.986
O 0.793 0.734 0.750
O 0.979 0.736 0.477
O 0.979 0.925 0.207
O 0.988 0.236 0.448
```



A plane-wave DFT calculation with SCAN was carried out for a PBEsol-optimized structure of SrZrP2Rh. Values from VASP.

Fermi-level density of states (states/eV/f.u.): 4.99
Space group: P4/mmm (123)
ρ (Mg/m³): 4.78
Calculated formation energy (meV per atom): -242

```
&SYSTEM
  ibrav = 0, nat = 5, ntyp = 4
/
ATOMIC_SPECIES
Sr 87.62 Sr.upf
Zr 91.22 Zr.upf
P 30.97 P.upf
Rh 102.91 Rh.upf
CELL_PARAMETERS angstrom
5.012 0.000 0.000
0.000 5.012 0.000
0.000 0.000 4.752
ATOMIC_POSITIONS crystal
Sr 0.000 0.000 0.000
Zr 0.500 0.500 0.500
P 0.000 0.500 0.500
P 0.500 0.000 0.500
Rh 0.500 0.500 0.000
```



A plane-wave DFT calculation with SCAN was carried out for a PBEsol-optimized structure of Cu2Te2PbCl2O6. Values from VASP.

Space group: P2_1 (4)
ρ (Mg/m³): 5.93
Energy relative to the elements, uncorrected (eV/atom): -1.05

```
&SYSTEM
  ibrav = 0, nat = 26, ntyp = 5
/
ATOMIC_SPECIES
Cu 63.55 Cu.upf
Te 127.60 Te.upf
Pb 207.20 Pb.upf
Cl 35.45 Cl.upf
O 16.00 O.upf
CELL_PARAMETERS angstrom
7.191 0.000 0.000
0.000 7.193 0.000
-0.945 0.000 8.189
ATOMIC_POSITIONS crystal
Cu 0.141 0.000 0.413
Cu 0.176 0.518 0.915
Cu 0.824 0.018 0.085
Cu 0.859 0.500 0.587
Te 0.146 0.135 0.738
Te 0.372 0.870 0.113
Te 0.628 0.370 0.887
Te 0.854 0.635 0.262
Pb 0.375 0.510 0.439
Pb 0.625 0.010 0.561
Cl 0.051 0.238 0.118
Cl 0.399 0.752 0.737
Cl 0.601 0.252 0.263
Cl 0.949 0.738 0.882
O 0.030 0.376 0.748
O 0.039 0.559 0.439
O 0.297 0.166 0.560
O 0.309 0.615 0.112
O 0.361 0.885 0.343
O 0.365 0.327 0.877
O 0.635 0.827 0.123
O 0.639 0.385 0.657
O 0.691 0.115 0.888
O 0.703 0.666 0.440
O 0.961 0.059 0.561
O 0.970 0.876 0.252
```



A plane-wave DFT calculation with SCAN was carried out for a PBEsol-optimized structure of CrPt2. Values from VASP.

Fermi-level density of states (states/eV/f.u.): 3.68
Space group: Fd-3m (227)
ρ (Mg/m³): 14.98
Calculated formation energy (meV per atom): -142

```
&SYSTEM
  ibrav = 0, nat = 6, ntyp = 2
/
ATOMIC_SPECIES
Cr 52.00 Cr.upf
Pt 195.08 Pt.upf
CELL_PARAMETERS angstrom
0.000 3.660 3.660
3.660 0.000 3.660
3.660 3.660 0.000
ATOMIC_POSITIONS crystal
Cr 0.125 0.125 0.125
Cr 0.875 0.875 0.875
Pt 0.000 0.500 0.500
Pt 0.500 0.000 0.500
Pt 0.500 0.500 0.000
Pt 0.500 0.500 0.500
```



A plane-wave DFT calculation with SCAN was carried out for a PBEsol-optimized structure of NaLaSc2Ir. Values from VASP.

Fermi-level density of states (states/eV/f.u.): 4.65
Space group: P4/mmm (123)
ρ (Mg/m³): 5.46
Calculated formation energy (meV per atom): 875

```
&SYSTEM
  ibrav = 0, nat = 5, ntyp = 4
/
ATOMIC_SPECIES
Na 22.99 Na.upf
La 138.91 La.upf
Sc 44.96 Sc.upf
Ir 192.22 Ir.upf
CELL_PARAMETERS angstrom
5.237 0.000 0.000
0.000 5.237 0.000
0.000 0.000 4.926
ATOMIC_POSITIONS crystal
Na 0.000 0.000 0.000
La 0.500 0.500 0.500
Sc 0.000 0.500 0.500
Sc 0.500 0.000 0.500
Ir 0.500 0.500 0.000
```



A plane-wave DFT calculation with SCAN was carried out for a PBEsol-optimized structure of PrInPd. Values from VASP.

Fermi-level density of states (states/eV/f.u.): 2.36
Space group: P-62m (189)
ρ (Mg/m³): 8.84
Calculated formation energy (meV per atom): -896

```
&SYSTEM
  ibrav = 0, nat = 9, ntyp = 3
/
ATOMIC_SPECIES
Pr 140.91 Pr.upf
In 114.82 In.upf
Pd 106.42 Pd.upf
CELL_PARAMETERS angstrom
7.689 0.000 0.000
-3.844 6.658 0.000
0.000 0.000 3.987
ATOMIC_POSITIONS crystal
Pr 0.000 0.412 0.000
Pr 0.412 0.000 0.000
Pr 0.588 0.588 0.000
In 0.000 0.748 0.500
In 0.252 0.252 0.500
In 0.748 0.000 0.500
Pd 0.000 0.000 0.000
Pd 0.333 0.667 0.500
Pd 0.667 0.333 0.500
```



Copy entry 11 word for word.
A plane-wave DFT calculation with SCAN was carried out for a PBEsol-optimized structure of NaLaSc2Ir. Values from VASP.

Fermi-level density of states (states/eV/f.u.): 4.65
Space group: P4/mmm (123)
ρ (Mg/m³): 5.46
Calculated formation energy (meV per atom): 875

```
&SYSTEM
  ibrav = 0, nat = 5, ntyp = 4
/
ATOMIC_SPECIES
Na 22.99 Na.upf
La 138.91 La.upf
Sc 44.96 Sc.upf
Ir 192.22 Ir.upf
CELL_PARAMETERS angstrom
5.237 0.000 0.000
0.000 5.237 0.000
0.000 0.000 4.926
ATOMIC_POSITIONS crystal
Na 0.000 0.000 0.000
La 0.500 0.500 0.500
Sc 0.000 0.500 0.500
Sc 0.500 0.000 0.500
Ir 0.500 0.500 0.000
```